Record 1
## RbMg2Pb8 (GGA-PBE)

Data for a relaxed RbMg2Pb8 crystal.

Values from the calculation:
Size of the total moment   0.000 μB per atom
Energy of formation   0.121 eV per atom
Density of states at the Fermi level   0.3032 states/eV/atom

a = 6.774 Å, b = 6.774 Å, c = 9.811 Å
α = 90.00°, β = 90.00°, γ = 90.00°
Sites, in units of the cell vectors:
Rb (0.000, 0.000, 0.000)
Mg (0.000, 0.500, 0.500)
Mg (0.500, 0.000, 0.500)
Pb (0.253, 0.253, 0.311)
Pb (0.253, 0.253, 0.689)
Pb (0.253, 0.747, 0.311)
Pb (0.253, 0.747, 0.689)
Pb (0.747, 0.253, 0.311)
Pb (0.747, 0.253, 0.689)
Pb (0.747, 0.747, 0.311)
Pb (0.747, 0.747, 0.689)

---

Record 2
## Rb3Mg2Pb4 (GGA-PBE)

Data for a relaxed Rb3Mg2Pb4 crystal.

Values from the calculation:
Size of the total moment   0.000 μB per atom
Energy of formation   -0.091 eV per atom
Density of states at the Fermi level   0.7818 states/eV/atom

a = 7.449 Å, b = 7.449 Å, c = 10.811 Å
α = 102.00°, β = 102.00°, γ = 39.41°
Sites, in units of the cell vectors:
Rb (0.000, 0.000, 0.000)
Rb (0.377, 0.377, 0.602)
Rb (0.623, 0.623, 0.398)
Mg (0.340, 0.340, 0.204)
Mg (0.660, 0.660, 0.796)
Pb (0.098, 0.098, 0.665)
Pb (0.283, 0.283, 0.911)
Pb (0.717, 0.717, 0.089)
Pb (0.902, 0.902, 0.335)

---

Record 3
## RbMg2Pb2 (GGA-PBE)

Data for a relaxed RbMg2Pb2 crystal.

Values from the calculation:
Size of the total moment   0.000 μB per atom
Relative energy among the computed polymorphs   0 meV/atom
Energy of formation   -0.123 eV per atom
Density of states at the Fermi level   0.3892 states/eV/atom

a = 7.375 Å, b = 7.375 Å, c = 7.375 Å
α = 139.88°, β = 139.88°, γ = 58.03°
Sites, in units of the cell vectors:
Rb (0.000, 0.000, 0.000)
Mg (0.250, 0.750, 0.500)
Mg (0.750, 0.250, 0.500)
Pb (0.380, 0.380, 0.000)
Pb (0.620, 0.620, 0.000)

---

Record 4
## RbMg2Pb3 (GGA-PBE)

Data for a relaxed RbMg2Pb3 crystal.

Values from the calculation:
Size of the total moment   0.000 μB per atom
Relative energy among the computed polymorphs   25 meV/atom
Energy of formation   -0.082 eV per atom
Density of states at the Fermi level   0.3950 states/eV/atom

a = 8.396 Å, b = 8.396 Å, c = 6.156 Å
α = 90.00°, β = 90.00°, γ = 73.79°
Sites, in units of the cell vectors:
Rb (0.167, 0.833, 0.750)
Rb (0.833, 0.167, 0.250)
Mg (0.290, 0.290, 0.000)
Mg (0.290, 0.290, 0.500)
Mg (0.710, 0.710, 0.000)
Mg (0.710, 0.710, 0.500)
Pb (0.035, 0.575, 0.250)
Pb (0.425, 0.965, 0.250)
Pb (0.433, 0.567, 0.250)
Pb (0.567, 0.433, 0.750)
Pb (0.575, 0.035, 0.750)
Pb (0.965, 0.425, 0.750)

---

Record 5
## Rb3Mg3Pb8 (GGA-PBE)

Data for a relaxed Rb3Mg3Pb8 crystal.

Values from the calculation:
Size of the total moment   0.000 μB per atom
Relative energy among the computed polymorphs   0 meV/atom
Energy of formation   -0.093 eV per atom
Density of states at the Fermi level   0.2752 states/eV/atom

a = 9.955 Å, b = 9.955 Å, c = 9.955 Å
α = 150.06°, β = 102.48°, γ = 85.26°
Sites, in units of the cell vectors:
Rb (0.000, 0.000, 0.000)
Rb (0.269, 0.269, 0.000)
Rb (0.731, 0.731, 0.000)
Mg (0.358, 0.500, 0.858)
Mg (0.500, 0.000, 0.500)
Mg (0.642, 0.500, 0.142)
Pb (0.031, 0.375, 0.656)
Pb (0.163, 0.857, 0.306)
Pb (0.281, 0.625, 0.656)
Pb (0.450, 0.143, 0.306)
Pb (0.550, 0.857, 0.694)
Pb (0.719, 0.375, 0.344)
Pb (0.837, 0.143, 0.694)
Pb (0.969, 0.625, 0.344)

---

Record 6
## Rb2Mg5Pb4 (GGA-PBE)

Data for a relaxed Rb2Mg5Pb4 crystal.

Values from the calculation:
Size of the total moment   0.000 μB per atom
Energy of formation   -0.026 eV per atom
Density of states at the Fermi level   0.3414 states/eV/atom

a = 10.824 Å, b = 9.441 Å, c = 7.129 Å
α = 80.25°, β = 59.27°, γ = 40.48°
Sites, in units of the cell vectors:
Rb (0.149, 0.149, 0.851)
Rb (0.851, 0.851, 0.149)
Mg (0.000, 0.000, 0.500)
Mg (0.250, 0.250, 0.250)
Mg (0.500, 0.500, 0.000)
Mg (0.500, 0.500, 0.500)
Mg (0.750, 0.750, 0.750)
Pb (0.222, 0.522, 0.478)
Pb (0.478, 0.778, 0.222)
Pb (0.522, 0.222, 0.778)
Pb (0.778, 0.478, 0.522)

---

Record 7
## Rb3Mg2Pb9 (GGA-PBE)

Data for a relaxed Rb3Mg2Pb9 crystal.

Values from the calculation:
Size of the total moment   0.000 μB per atom
Energy of formation   -0.103 eV per atom
Density of states at the Fermi level   0.3426 states/eV/atom

a = 10.139 Å, b = 10.139 Å, c = 10.139 Å
α = 151.07°, β = 100.47°, γ = 86.74°
Sites, in units of the cell vectors:
Rb (0.000, 0.000, 0.000)
Rb (0.271, 0.271, 0.000)
Rb (0.729, 0.729, 0.000)
Mg (0.356, 0.500, 0.856)
Mg (0.644, 0.500, 0.144)
Pb (0.038, 0.380, 0.658)
Pb (0.148, 0.847, 0.301)
Pb (0.278, 0.620, 0.658)
Pb (0.454, 0.153, 0.301)
Pb (0.500, 0.000, 0.500)
Pb (0.546, 0.847, 0.699)
Pb (0.722, 0.380, 0.342)
Pb (0.852, 0.153, 0.699)
Pb (0.962, 0.620, 0.342)

---

Record 8
## RbMg2Pb9 (GGA-PBE)

Data for a relaxed RbMg2Pb9 crystal.

Values from the calculation:
Size of the total moment   0.000 μB per atom
Energy of formation   -0.023 eV per atom
Density of states at the Fermi level   0.5309 states/eV/atom

a = 10.964 Å, b = 10.964 Å, c = 3.620 Å
α = 90.00°, β = 90.00°, γ = 120.00°
Sites, in units of the cell vectors:
Rb (0.000, 0.000, 0.000)
Mg (0.333, 0.667, 0.000)
Mg (0.667, 0.333, 0.000)
Pb (0.000, 0.500, 0.000)
Pb (0.188, 0.376, 0.500)
Pb (0.188, 0.812, 0.500)
Pb (0.376, 0.188, 0.500)
Pb (0.500, 0.000, 0.000)
Pb (0.500, 0.500, 0.000)
Pb (0.624, 0.812, 0.500)
Pb (0.812, 0.188, 0.500)
Pb (0.812, 0.624, 0.500)